Here is a geometry-optimized U2CoAu structure from the Alexandria database. Energies are from PBE.

Cell lengths 2.9367, 2.9367, 31.2912 Å; angles 90.00, 90.00, 120.00 degrees
Space group R-3m (No. 166, hexagonal axes)
One atom of each set of equivalent atoms:
U (0.0000, 0.0000, 0.0978)
Co (0.0000, 0.0000, 0.5000)
Au (0.0000, 0.0000, 0.0000)

Summary:
**Formation energy from the elements**: 133 kJ/mol of formula units
**Electronic total energy**: -7.896 eV per atom



Here is a geometry-optimized VCo3Au structure from the Alexandria database. Energies are from PBE.

Cell lengths 4.635, 4.635, 4.635 Å; angles 90.00, 90.00, 90.00 degrees
Space group Pm-3m (No. 221)
One atom of each set of equivalent atoms:
V (0.000, 0.000, 0.000)
Co (0.000, 0.500, 0.500)
Au (0.500, 0.500, 0.500)

Summary:
**Formation energy from the elements**: 820 kJ/mol of formula units
**Electronic total energy**: -5.043 eV per atom
**Polymorph energy (0 for the lowest one)**: 0.686 eV per atom